# 1
# MgTePt (PBE, relaxed)
# E_form (uncorrected): -0.575 eV per atom
# Raw total energy: -4.167 eV/atom
data_MgTePt
_chemical_formula_sum 'Mg4 Te4 Pt4'
_cell_length_a 8.974
_cell_length_b 3.989
_cell_length_c 8.718
_cell_angle_alpha 90.00
_cell_angle_beta 101.32
_cell_angle_gamma 90.00
_symmetry_space_group_name_H-M 'C 1 m 1'
_symmetry_Int_Tables_number 8
loop_
_symmetry_equiv_pos_as_xyz
'x,y,z'
'x,-y,z'
'x+1/2,y+1/2,z'
'x+1/2,-y+1/2,z'
loop_
_atom_site_label
_atom_site_type_symbol
_atom_site_fract_x
_atom_site_fract_y
_atom_site_fract_z
Mg1 Mg 0.000 0.000 0.000
Mg2 Mg 0.056 0.500 0.302
Te1 Te 0.261 0.000 0.847
Te2 Te 0.376 0.500 0.458
Pt1 Pt 0.211 0.500 0.045
Pt2 Pt 0.250 0.000 0.260

# 2
# MgTePt (PBE, relaxed)
# E_form (uncorrected): -0.552 eV per atom
# Raw total energy: -4.144 eV/atom
data_MgTePt
_chemical_formula_sum 'Mg2 Te2 Pt2'
_cell_length_a 5.588
_cell_length_b 4.014
_cell_length_c 6.193
_cell_angle_alpha 90.00
_cell_angle_beta 93.25
_cell_angle_gamma 90.00
_symmetry_space_group_name_H-M 'P 1 21/m 1'
_symmetry_Int_Tables_number 11
loop_
_symmetry_equiv_pos_as_xyz
'x,y,z'
'-x,-y,-z'
'-x,y+1/2,-z'
'x,-y+1/2,z'
loop_
_atom_site_label
_atom_site_type_symbol
_atom_site_fract_x
_atom_site_fract_y
_atom_site_fract_z
Mg1 Mg 0.154 0.250 0.327
Te1 Te 0.209 0.250 0.831
Pt1 Pt 0.376 0.750 0.597

# 3
# MgTePt4 (PBE, relaxed)
# E_form (uncorrected): -0.187 eV per atom
# Raw total energy: -5.004 eV/atom
data_MgTePt4
_chemical_formula_sum 'Mg4 Te4 Pt16'
_cell_length_a 7.599
_cell_length_b 7.599
_cell_length_c 7.599
_cell_angle_alpha 90.00
_cell_angle_beta 90.00
_cell_angle_gamma 90.00
_symmetry_space_group_name_H-M 'F -4 3 m'
_symmetry_Int_Tables_number 216
_symmetry_space_group_name_Hall 'F -4 2 3'
loop_
_atom_site_label
_atom_site_type_symbol
_atom_site_fract_x
_atom_site_fract_y
_atom_site_fract_z
Mg1 Mg 0.000 0.000 0.000
Te1 Te 0.250 0.250 0.250
Pt1 Pt 0.125 0.125 0.625

# 4
# Mg2TePt (PBE, relaxed)
# E_form (uncorrected): -0.356 eV per atom
# Raw total energy: -3.449 eV/atom
data_Mg2TePt
_chemical_formula_sum 'Mg8 Te4 Pt4'
_cell_length_a 6.223
_cell_length_b 6.223
_cell_length_c 12.431
_cell_angle_alpha 90.00
_cell_angle_beta 90.00
_cell_angle_gamma 90.00
_symmetry_space_group_name_H-M 'I -4 2 d'
_symmetry_Int_Tables_number 122
_symmetry_space_group_name_Hall 'I -4 2bw'
loop_
_atom_site_label
_atom_site_type_symbol
_atom_site_fract_x
_atom_site_fract_y
_atom_site_fract_z
Mg1 Mg 0.219 0.250 0.125
Te1 Te 0.000 0.000 0.500
Pt1 Pt 0.000 0.000 0.000

# 5
# MgTePt (PBE, relaxed)
# E_form (uncorrected): -0.540 eV per atom
# Raw total energy: -4.133 eV/atom
data_MgTePt
_chemical_formula_sum 'Mg4 Te4 Pt4'
_cell_length_a 5.626
_cell_length_b 6.346
_cell_length_c 7.524
_cell_angle_alpha 90.00
_cell_angle_beta 90.00
_cell_angle_gamma 90.00
_symmetry_space_group_name_H-M 'I m a 2'
_symmetry_Int_Tables_number 46
loop_
_symmetry_equiv_pos_as_xyz
'x,y,z'
'-x,-y,z'
'-x+1/2,y,z'
'x+1/2,-y,z'
'x+1/2,y+1/2,z+1/2'
'-x+1/2,-y+1/2,z+1/2'
'-x,y+1/2,z+1/2'
'x,-y+1/2,z+1/2'
loop_
_atom_site_label
_atom_site_type_symbol
_atom_site_fract_x
_atom_site_fract_y
_atom_site_fract_z
Mg1 Mg 0.250 0.250 0.000
Te1 Te 0.250 0.653 0.250
Pt1 Pt 0.000 0.000 0.250

# 6
# MgTePt (PBE, relaxed)
# E_form (uncorrected): -0.393 eV per atom
# Raw total energy: -3.986 eV/atom
data_MgTePt
_chemical_formula_sum 'Mg4 Te4 Pt4'
_cell_length_a 5.911
_cell_length_b 7.930
_cell_length_c 5.528
_cell_angle_alpha 90.00
_cell_angle_beta 90.00
_cell_angle_gamma 90.00
_symmetry_space_group_name_H-M 'P n m a'
_symmetry_Int_Tables_number 62
loop_
_symmetry_equiv_pos_as_xyz
'x,y,z'
'-x,-y,-z'
'-x+1/2,-y,z+1/2'
'x+1/2,y,-z+1/2'
'x+1/2,-y+1/2,-z+1/2'
'-x+1/2,y+1/2,z+1/2'
'-x,y+1/2,-z'
'x,-y+1/2,z'
loop_
_atom_site_label
_atom_site_type_symbol
_atom_site_fract_x
_atom_site_fract_y
_atom_site_fract_z
Mg1 Mg 0.128 0.250 0.139
Te1 Te 0.000 0.000 0.500
Pt1 Pt 0.212 0.750 0.183

# 7
# Mg2TePt (PBE, relaxed)
# E_form (uncorrected): -0.393 eV per atom
# Raw total energy: -3.486 eV/atom
data_Mg2TePt
_chemical_formula_sum 'Mg4 Te2 Pt2'
_cell_length_a 4.059
_cell_length_b 4.059
_cell_length_c 9.790
_cell_angle_alpha 90.00
_cell_angle_beta 90.00
_cell_angle_gamma 90.00
_symmetry_space_group_name_H-M 'I -4 m 2'
_symmetry_Int_Tables_number 119
_symmetry_space_group_name_Hall 'I -4 -2'
loop_
_atom_site_label
_atom_site_type_symbol
_atom_site_fract_x
_atom_site_fract_y
_atom_site_fract_z
Mg1 Mg 0.000 0.000 0.000
Mg2 Mg 0.000 0.500 0.250
Te1 Te 0.000 0.000 0.500
Pt1 Pt 0.000 0.500 0.750

# 8
# MgTePt (PBE, relaxed)
# E_form (uncorrected): -0.399 eV per atom
# Raw total energy: -3.992 eV/atom
data_MgTePt
_chemical_formula_sum 'Mg1 Te1 Pt1'
_cell_length_a 4.3942
_cell_length_b 4.3942
_cell_length_c 4.1480
_cell_angle_alpha 90.00
_cell_angle_beta 90.00
_cell_angle_gamma 120.00
_symmetry_space_group_name_H-M 'P 3 m 1'
_symmetry_Int_Tables_number 156
loop_
_symmetry_equiv_pos_as_xyz
'x,y,z'
'-y,x-y,z'
'-x+y,-x,z'
'-y,-x,z'
'-x+y,y,z'
'x,x-y,z'
loop_
_atom_site_label
_atom_site_type_symbol
_atom_site_fract_x
_atom_site_fract_y
_atom_site_fract_z
Mg1 Mg 0.0000 0.0000 0.0000
Te1 Te 0.3333 0.6667 0.4634
Pt1 Pt 0.6667 0.3333 0.2866

# 9
# MgTePt (PBE, relaxed)
# E_form (uncorrected): -0.478 eV per atom
# Raw total energy: -4.070 eV/atom
data_MgTePt
_chemical_formula_sum 'Mg2 Te2 Pt2'
_cell_length_a 5.482
_cell_length_b 5.489
_cell_length_c 5.511
_cell_angle_alpha 106.48
_cell_angle_beta 118.55
_cell_angle_gamma 103.43
_symmetry_space_group_name_H-M 'P 1'
_symmetry_Int_Tables_number 1
loop_
_symmetry_equiv_pos_as_xyz
'x,y,z'
loop_
_atom_site_label
_atom_site_type_symbol
_atom_site_fract_x
_atom_site_fract_y
_atom_site_fract_z
Mg1 Mg 0.000 0.000 0.000
Mg2 Mg 0.456 0.356 0.813
Te1 Te 0.294 0.650 0.328
Te2 Te 0.779 0.322 0.485
Pt1 Pt 0.443 0.893 0.907
Pt2 Pt 0.878 0.828 0.406

# 10
# MgTePt (PBE, relaxed)
# E_form (uncorrected): -0.591 eV per atom
# Raw total energy: -4.183 eV/atom
data_MgTePt
_chemical_formula_sum 'Mg2 Te2 Pt2'
_cell_length_a 4.523
_cell_length_b 4.524
_cell_length_c 8.705
_cell_angle_alpha 104.67
_cell_angle_beta 90.27
_cell_angle_gamma 119.98
_symmetry_space_group_name_H-M 'P -1'
_symmetry_Int_Tables_number 2
loop_
_symmetry_equiv_pos_as_xyz
'x,y,z'
'-x,-y,-z'
loop_
_atom_site_label
_atom_site_type_symbol
_atom_site_fract_x
_atom_site_fract_y
_atom_site_fract_z
Mg1 Mg 0.202 0.402 0.105
Te1 Te 0.400 0.805 0.703
Pt1 Pt 0.095 0.193 0.785

# 11
# MgTePt (PBE, relaxed)
# E_form (uncorrected): -0.515 eV per atom
# Raw total energy: -4.107 eV/atom
data_MgTePt
_chemical_formula_sum 'Mg4 Te4 Pt4'
_cell_length_a 4.347
_cell_length_b 9.986
_cell_length_c 6.160
_cell_angle_alpha 90.00
_cell_angle_beta 90.00
_cell_angle_gamma 90.00
_symmetry_space_group_name_H-M 'A m a 2'
_symmetry_Int_Tables_number 40
loop_
_symmetry_equiv_pos_as_xyz
'x,y,z'
'-x,-y,z'
'-x+1/2,y,z'
'x+1/2,-y,z'
'x,y+1/2,z+1/2'
'-x,-y+1/2,z+1/2'
'-x+1/2,y+1/2,z+1/2'
'x+1/2,-y+1/2,z+1/2'
loop_
_atom_site_label
_atom_site_type_symbol
_atom_site_fract_x
_atom_site_fract_y
_atom_site_fract_z
Mg1 Mg 0.250 0.123 0.000
Te1 Te 0.250 0.156 0.535
Pt1 Pt 0.250 0.398 0.765

# 12
# Mg2TePt (PBE, relaxed)
# E_form (uncorrected): -0.521 eV per atom
# Raw total energy: -3.614 eV/atom
data_Mg2TePt
_chemical_formula_sum 'Mg4 Te2 Pt2'
_cell_length_a 3.202
_cell_length_b 4.310
_cell_length_c 12.966
_cell_angle_alpha 90.00
_cell_angle_beta 90.00
_cell_angle_gamma 90.00
_symmetry_space_group_name_H-M 'I m m 2'
_symmetry_Int_Tables_number 44
loop_
_symmetry_equiv_pos_as_xyz
'x,y,z'
'-x,-y,z'
'-x,y,z'
'x,-y,z'
'x+1/2,y+1/2,z+1/2'
'-x+1/2,-y+1/2,z+1/2'
'-x+1/2,y+1/2,z+1/2'
'x+1/2,-y+1/2,z+1/2'
loop_
_atom_site_label
_atom_site_type_symbol
_atom_site_fract_x
_atom_site_fract_y
_atom_site_fract_z
Mg1 Mg 0.000 0.000 0.000
Mg2 Mg 0.000 0.500 0.183
Te1 Te 0.000 0.000 0.371
Pt1 Pt 0.000 0.500 0.664

# 13
# MgTePt2 (PBE, relaxed)
# Polymorph energy (0 for the lowest one): 218 meV/atom
# E_form (uncorrected): -0.197 eV per atom
# Raw total energy: -4.401 eV/atom
data_MgTePt2
_chemical_formula_sum 'Mg3 Te3 Pt6'
_cell_length_a 3.1365
_cell_length_b 3.1365
_cell_length_c 26.1319
_cell_angle_alpha 90.00
_cell_angle_beta 90.00
_cell_angle_gamma 120.00
_symmetry_space_group_name_H-M 'R -3 m'
_symmetry_Int_Tables_number 166
_symmetry_space_group_name_Hall '-R 3 2"'
loop_
_atom_site_label
_atom_site_type_symbol
_atom_site_fract_x
_atom_site_fract_y
_atom_site_fract_z
Mg1 Mg 0.0000 0.0000 0.0000
Te1 Te 0.0000 0.0000 0.5000
Pt1 Pt 0.0000 0.0000 0.2542

# 14
# MgTePt2 (PBE, relaxed)
# Polymorph energy (0 for the lowest one): 129 meV/atom
# E_form (uncorrected): -0.286 eV per atom
# Raw total energy: -4.490 eV/atom
data_MgTePt2
_chemical_formula_sum 'Mg4 Te4 Pt8'
_cell_length_a 4.212
_cell_length_b 4.212
_cell_length_c 17.791
_cell_angle_alpha 90.00
_cell_angle_beta 90.00
_cell_angle_gamma 90.00
_symmetry_space_group_name_H-M 'I -4 2 d'
_symmetry_Int_Tables_number 122
_symmetry_space_group_name_Hall 'I -4 2bw'
loop_
_atom_site_label
_atom_site_type_symbol
_atom_site_fract_x
_atom_site_fract_y
_atom_site_fract_z
Mg1 Mg 0.000 0.000 0.000
Te1 Te 0.000 0.000 0.500
Pt1 Pt 0.250 0.250 0.125